Entry 1:
Entry from the Alexandria database: an optimized crystal structure of Sr2YSb (PBEsol).

It has space group P4/mmm (No. 123), with a = 4.931 Å, b = 4.931 Å, c = 5.235 Å, α = 90.00°, β = 90.00° and γ = 90.00°. The inequivalent atoms are Sr at (0.000, 0.500, 0.000), Y at (0.000, 0.000, 0.500) and Sb at (0.500, 0.500, 0.500).

Its total magnetization is 0.0014 μB per atom. The total energy comes out at -4.13 eV/atom.

***

Entry 2:
Entry from the Alexandria database: an optimized crystal structure of Mg2TlCd (PBEsol).

It has space group Pmm2 (No. 25), with a = 3.623 Å, b = 4.943 Å, c = 4.944 Å, α = 90.00°, β = 90.00° and γ = 90.00°. The inequivalent atoms are Mg at (0.000, 0.000, 0.000), Mg at (0.000, 0.500, 0.489), Tl at (0.500, 0.500, 0.989) and Cd at (0.500, 0.000, 0.499).

For the formation enthalpy at 0 K, the calculation gives -0.3 eV per formula unit. Its total magnetization is 0.0000 μB per atom. The total energy comes out at -1.90 eV/atom.

***

Entry 3:
Entry from the Alexandria database: an optimized crystal structure of Ga3Ni5Ge2 (PBEsol).

It has space group Cmcm (No. 63), with a = 3.856 Å, b = 11.949 Å, c = 10.988 Å, α = 90.00°, β = 90.00° and γ = 90.00°. The inequivalent atoms are Ga at (0.000, 0.000, 0.000), Ga at (0.000, 0.331, 0.023), Ni at (0.000, 0.159, 0.132), Ni at (0.000, 0.339, 0.250), Ni at (0.000, 0.480, 0.632), Ge at (0.000, 0.038, 0.750) and Ge at (0.000, 0.290, 0.750).

For the formation enthalpy at 0 K, the calculation gives -4.2 eV per formula unit. Its total magnetization is 0.0000 μB per atom. The total energy comes out at -5.49 eV/atom.

***

Entry 4:
Entry from the Alexandria database: an optimized crystal structure of OsSeI2O (PBEsol).

It has space group P4/mmm (No. 123), with a = 5.461 Å, b = 5.461 Å, c = 3.701 Å, α = 90.00°, β = 90.00° and γ = 90.00°. The inequivalent atoms are Os at (0.000, 0.000, 0.000), Se at (0.500, 0.500, 0.500), I at (0.000, 0.500, 0.000) and O at (0.000, 0.000, 0.500).

Its total magnetization is 0.0002 μB per atom. The total energy comes out at -4.79 eV/atom.

***

Entry 5:
Entry from the Alexandria database: an optimized crystal structure of ZrAl2Se (PBEsol).

It has space group P4mm (No. 99), with a = 3.325 Å, b = 3.325 Å, c = 6.843 Å, α = 90.00°, β = 90.00° and γ = 90.00°. The inequivalent atoms are Zr at (0.000, 0.000, 0.000), Al at (0.000, 0.000, 0.516), Al at (0.500, 0.500, 0.285) and Se at (0.500, 0.500, 0.809).

Its total magnetization is 0.0000 μB per atom. The total energy comes out at -5.71 eV/atom.

***

Entry 6:
Entry from the Alexandria database: an optimized crystal structure of MnAlOs (PBEsol).

It has space group I4mm (No. 107), with a = 2.824 Å, b = 2.824 Å, c = 9.357 Å, α = 90.00°, β = 90.00° and γ = 90.00°. The inequivalent atoms are Mn at (0.000, 0.000, 0.000), Al at (0.000, 0.000, 0.340) and Os at (0.000, 0.000, 0.660).

For the formation enthalpy at 0 K, the calculation gives -0.7 eV per formula unit. Its total magnetization is 0.0001 μB per atom. The total energy comes out at -8.94 eV/atom.

***

Entry 7:
Entry from the Alexandria database: an optimized crystal structure of BaInAs (PBEsol).

It has space group F-43m (No. 216), with a = 7.359 Å, b = 7.359 Å, c = 7.359 Å, α = 90.00°, β = 90.00° and γ = 90.00°. The inequivalent atoms are Ba at (0.000, 0.000, 0.000), In at (0.250, 0.250, 0.750) and As at (0.000, 0.000, 0.500).

For the formation enthalpy at 0 K, the calculation gives -0.9 eV per formula unit. Its total magnetization is 0.0000 μB per atom. The total energy comes out at -3.71 eV/atom.

***

Entry 8:
Entry from the Alexandria database: an optimized crystal structure of Cd2TeAu (PBEsol).

It has space group I-4m2 (No. 119), with a = 4.255 Å, b = 4.255 Å, c = 9.628 Å, α = 90.00°, β = 90.00° and γ = 90.00°. The inequivalent atoms are Cd at (0.000, 0.000, 0.000), Cd at (0.000, 0.500, 0.250), Te at (0.000, 0.000, 0.500) and Au at (0.000, 0.500, 0.750).

Its total magnetization is 0.0000 μB per atom. The total energy comes out at -2.39 eV/atom.

***

Entry 9:
Entry from the Alexandria database: an optimized crystal structure of SrAsPt2 (PBEsol).

It has space group C2/m (No. 12), with a = 5.866 Å, b = 9.994 Å, c = 2.892 Å, α = 90.00°, β = 119.11° and γ = 90.00°. The inequivalent atoms are Sr at (0.000, 0.000, 0.000), As at (0.000, 0.500, 0.000) and Pt at (0.250, 0.250, 0.500).

For the formation enthalpy at 0 K, the calculation gives -0.7 eV per formula unit. Its total magnetization is 0.0000 μB per atom. The total energy comes out at -5.39 eV/atom.

***

Entry 10:
Entry from the Alexandria database: an optimized crystal structure of KMnCl2 (PBEsol).

It has space group P4/mmm (No. 123), with a = 5.088 Å, b = 5.088 Å, c = 3.314 Å, α = 90.00°, β = 90.00° and γ = 90.00°. The inequivalent atoms are K at (0.000, 0.000, 0.000), Mn at (0.500, 0.500, 0.000) and Cl at (0.000, 0.500, 0.500).

Its total magnetization is 1.1829 μB per atom. The total energy comes out at -4.39 eV/atom. The calculation puts the energy above the lowest structure with this stoichiometry at 156 meV per atom.

***

Entry 11:
Entry from the Alexandria database: an optimized crystal structure of RePtSe2 (PBEsol).

It has space group Imm2 (No. 44), with a = 2.962 Å, b = 3.971 Å, c = 11.798 Å, α = 90.00°, β = 90.00° and γ = 90.00°. The inequivalent atoms are Re at (0.000, 0.000, 0.000), Pt at (0.000, 0.500, 0.289), Se at (0.000, 0.000, 0.442) and Se at (0.000, 0.500, 0.670).

Its total magnetization is 0.0001 μB per atom. The total energy comes out at -6.67 eV/atom. The calculation puts the energy above the lowest structure with this stoichiometry at 0 meV per atom.

***

Entry 12:
Entry from the Alexandria database: an optimized crystal structure of Ca2ReBr (PBEsol).

It has space group R-3m (No. 166, hexagonal axes), with a = 3.4578 Å, b = 3.4578 Å, c = 26.3650 Å, α = 90.00°, β = 90.00° and γ = 120.00°. The inequivalent atoms are Ca at (0.0000, 0.0000, 0.2469), Re at (0.0000, 0.0000, 0.5000) and Br at (0.0000, 0.0000, 0.0000).

Its total magnetization is 0.1632 μB per atom. The total energy comes out at -4.85 eV/atom.

***

Entry 13:
Entry from the Alexandria database: an optimized crystal structure of HgSIO2 (PBEsol).

It has space group P4/mmm (No. 123), with a = 3.858 Å, b = 3.858 Å, c = 6.710 Å, α = 90.00°, β = 90.00° and γ = 90.00°. The inequivalent atoms are Hg at (0.000, 0.000, 0.000), S at (0.500, 0.500, 0.500), I at (0.500, 0.500, 0.000) and O at (0.000, 0.500, 0.500).

Its total magnetization is 0.0001 μB per atom. The total energy comes out at -3.17 eV/atom.

***

Entry 14:
Entry from the Alexandria database: an optimized crystal structure of NbRh3Se (PBEsol).

It has space group Pm-3m (No. 221), with a = 4.469 Å, b = 4.469 Å, c = 4.469 Å, α = 90.00°, β = 90.00° and γ = 90.00°. The inequivalent atoms are Nb at (0.000, 0.000, 0.000), Rh at (0.000, 0.500, 0.500) and Se at (0.500, 0.500, 0.500).

Its total magnetization is 0.4516 μB per atom. The total energy comes out at -7.09 eV/atom.

***

Entry 15:
Entry from the Alexandria database: an optimized crystal structure of TlAu2 (PBEsol).

It has space group Cmcm (No. 63), with a = 3.309 Å, b = 17.741 Å, c = 4.343 Å, α = 90.00°, β = 90.00° and γ = 90.00°. The inequivalent atoms are Tl at (0.000, 0.197, 0.250), Au at (0.000, 0.080, 0.750) and Au at (0.000, 0.445, 0.750).

For the formation enthalpy at 0 K, the calculation gives 0.2 eV per formula unit. Its total magnetization is 0.0000 μB per atom. The total energy comes out at -3.43 eV/atom. The calculation puts the energy above the lowest structure with this stoichiometry at 41 meV per atom.

***

Entry 16:
Entry from the Alexandria database: an optimized crystal structure of Pr3Ge13Os4 (PBEsol).

It has space group Pm-3n (No. 223), with a = 9.076 Å, b = 9.076 Å, c = 9.076 Å, α = 90.00°, β = 90.00° and γ = 90.00°. The inequivalent atoms are Pr at (0.000, 0.250, 0.500), Ge at (0.000, 0.000, 0.000), Ge at (0.000, 0.294, 0.145) and Os at (0.250, 0.250, 0.250).

For the formation enthalpy at 0 K, the calculation gives -7.5 eV per formula unit. Its total magnetization is 0.0000 μB per atom. The total energy comes out at -6.80 eV/atom.

***

Entry 17:
Entry from the Alexandria database: an optimized crystal structure of PrHo3 (PBEsol).

It has space group P6_3/mmc (No. 194), with a = 7.1097 Å, b = 7.1097 Å, c = 5.6068 Å, α = 90.00°, β = 90.00° and γ = 120.00°. The inequivalent atoms are Pr at (0.3333, 0.6667, 0.2500) and Ho at (0.1655, 0.3309, 0.7500).

For the formation enthalpy at 0 K, the calculation gives 0.1 eV per formula unit. Its total magnetization is 0.0001 μB per atom. The total energy comes out at -4.99 eV/atom. The calculation puts the energy above the lowest structure with this stoichiometry at 4 meV per atom.

***

Entry 18:
Entry from the Alexandria database: an optimized crystal structure of NiCIO2 (PBEsol).

It has space group P4/mmm (No. 123), with a = 3.475 Å, b = 3.475 Å, c = 6.870 Å, α = 90.00°, β = 90.00° and γ = 90.00°. The inequivalent atoms are Ni at (0.000, 0.000, 0.000), C at (0.500, 0.500, 0.500), I at (0.000, 0.000, 0.500) and O at (0.000, 0.500, 0.000).

Its total magnetization is 0.6171 μB per atom. The total energy comes out at -4.67 eV/atom.

***

Entry 19:
Entry from the Alexandria database: an optimized crystal structure of Pr3CuGeS7 (PBEsol).

It has space group P6_3 (No. 173), with a = 10.1294 Å, b = 10.1294 Å, c = 5.7792 Å, α = 90.00°, β = 90.00° and γ = 120.00°. The inequivalent atoms are Pr at (0.1278, 0.3568, 0.0000), Cu at (0.0000, 0.0000, 0.4763), Ge at (0.3333, 0.6667, 0.5809), S at (0.0904, 0.2520, 0.4864), S at (0.1029, 0.5830, 0.7342) and S at (0.3333, 0.6667, 0.2031).

Its total magnetization is 0.0000 μB per atom. The total energy comes out at -6.14 eV/atom.

***

Entry 20:
Entry from the Alexandria database: an optimized crystal structure of Be2SnPt2 (PBEsol).

It has space group I4/mmm (No. 139), with a = 3.361 Å, b = 3.361 Å, c = 12.499 Å, α = 90.00°, β = 90.00° and γ = 90.00°. The inequivalent atoms are Be at (0.000, 0.500, 0.250), Sn at (0.000, 0.000, 0.000) and Pt at (0.000, 0.000, 0.380).

For the formation enthalpy at 0 K, the calculation gives -2.3 eV per formula unit. Its total magnetization is 0.0000 μB per atom. The total energy comes out at -5.70 eV/atom.